! Cs2MgFeI6 (GGA-PBE, optimized geometry); values from VASP
! **DFT total energy**: -2.995 eV per atom
&SYSTEM
  ibrav = 0, nat = 10, ntyp = 4
/
ATOMIC_SPECIES
Cs 132.91 Cs.upf
Mg 24.30 Mg.upf
Fe 55.84 Fe.upf
I 126.90 I.upf
ATOMIC_POSITIONS crystal
Cs 0.250 0.250 0.250
Cs 0.750 0.750 0.750
Mg 0.000 0.000 0.000
Fe 0.500 0.500 0.500
I 0.254 0.254 0.746
I 0.254 0.746 0.254
I 0.254 0.746 0.746
I 0.746 0.254 0.254
I 0.746 0.254 0.746
I 0.746 0.746 0.254
CELL_PARAMETERS angstrom
0.000 5.836 5.836
5.836 0.000 5.836
5.836 5.836 0.000

! TaPbCl2 (GGA-PBE, optimized geometry); values from VASP
! **Distance to the lowest polymorph of the same formula**: 1038 meV per atom
&SYSTEM
  ibrav = 0, nat = 4, ntyp = 3
/
ATOMIC_SPECIES
Ta 180.95 Ta.upf
Pb 207.20 Pb.upf
Cl 35.45 Cl.upf
ATOMIC_POSITIONS crystal
Ta 0.000 0.000 0.000
Pb 0.500 0.500 0.000
Cl 0.000 0.500 0.500
Cl 0.500 0.000 0.500
CELL_PARAMETERS angstrom
5.193 0.000 0.000
0.000 5.193 0.000
0.000 0.000 3.249

Number 1: V 397.5 Å³/f.u., ρ 4.6 g/cm3. Number 2: V 87.6 Å³/f.u., ρ 8.7 g/cm3.